A plane-wave DFT calculation with PBE was carried out for crystalline YHf2F at its relaxed geometry.

a b c (Å): 4.9911 4.9911 4.9911
angles (deg): 60.00 60.00 60.00
Fractional coordinates of all 4 atoms:
Y: 0.0000 0.0000 0.0000
Hf: 0.2500 0.2500 0.2500
Hf: 0.7500 0.7500 0.7500
F: 0.5000 0.5000 0.5000

Properties
Magnetization in μB per atom: 0.00
Uncorrected formation energy in eV per atom: 0.326
Volume in Å³ per cell: 88